The following is a GGA-PBE calculation of crystalline NaSrTa at its relaxed geometry, from Alexandria via LeMat-Bulk.

```
NaSrTa
1.0
3.8845 0.0000 0.0000
0.0000 5.5741 0.0000
0.0000 0.0000 18.1361
Na Sr Ta
4 4 4
Direct
0.2498 0.7500 0.5356
0.2502 0.2500 0.0356
0.7502 0.2500 0.4644
0.7498 0.7500 0.9644
0.7492 0.7500 0.3368
0.2508 0.2500 0.6632
0.7508 0.2500 0.8368
0.2492 0.7500 0.1632
0.2493 0.2500 0.2955
0.7507 0.7500 0.7045
0.7493 0.2500 0.2045
0.2507 0.7500 0.7955
```

Summary:
Distance to the lowest polymorph of the same formula   357.2 meV/atom
Formation enthalpy at 0 K   0.6763 eV per atom
VASP energy   -51.30 eV per cell
Spin magnetization   0.00 μB/cell

The following is a GGA-PBE calculation of crystalline NaSrTa at its relaxed geometry, from Alexandria via LeMat-Bulk.

```
NaSrTa
1.0
5.3160 0.0000 0.0000
0.0000 6.4371 0.0000
2.6580 3.2185 5.1617
Sr Ta Na
2 2 2
Direct
0.8789 0.1289 0.2422
0.1211 0.8711 0.7578
0.0000 0.5000 0.5000
0.5000 0.5000 0.5000
0.5000 0.5000 0.0000
0.5000 0.0000 0.0000
```

Summary:
Distance to the lowest polymorph of the same formula   495.4 meV/atom
Formation enthalpy at 0 K   0.8145 eV per atom
VASP energy   -24.82 eV per cell
Spin magnetization   0.00 μB/cell

The following is a GGA-PBE calculation of crystalline NaSrTa at its relaxed geometry, from Alexandria via LeMat-Bulk.

```
NaSrTa
1.0
-1.0443 -5.4080 0.8161
-4.8506 -1.5946 2.2210
-3.7784 -2.6117 -3.1474
Na Sr Ta
1 1 1
Direct
0.2500 0.2500 0.2500
0.7500 0.7500 0.7500
0.5000 0.5000 0.5000
```

Summary:
Distance to the lowest polymorph of the same formula   1377.4 meV/atom
Formation enthalpy at 0 K   1.6965 eV per atom
VASP energy   -9.76 eV per cell
Spin magnetization   4.80 μB/cell

The following is a GGA-PBE calculation of crystalline NaSrTa at its relaxed geometry, from Alexandria via LeMat-Bulk.

```
NaSrTa
1.0
-3.1278 1.1461 -0.9975
-3.6021 -7.1816 -3.0067
-4.4120 -2.8525 4.4931
Ta Sr Na
2 2 2
Direct
0.8714 0.1318 0.7872
0.4790 0.8994 0.8043
0.1752 0.5156 0.7958
0.1751 0.0157 0.2958
0.4750 0.3500 0.3604
0.8740 0.6814 0.2309
```

Summary:
Distance to the lowest polymorph of the same formula   371.6 meV/atom
Formation enthalpy at 0 K   0.6907 eV per atom
VASP energy   -25.56 eV per cell
Spin magnetization   0.00 μB/cell

The following is a GGA-PBE calculation of crystalline NaSrTa at its relaxed geometry, from Alexandria via LeMat-Bulk.

```
NaSrTa
1.0
5.2167 -3.0118 0.0000
0.0000 6.0237 0.0000
0.0000 0.0000 12.6414
Na Sr Ta
2 2 2
Direct
0.6667 0.3333 0.7500
0.3333 0.6667 0.2500
0.0000 0.0000 0.7500
0.0000 0.0000 0.2500
0.0000 0.0000 0.5000
0.0000 0.0000 0.0000
```

Summary:
Distance to the lowest polymorph of the same formula   2216.5 meV/atom
Formation enthalpy at 0 K   2.5356 eV per atom
VASP energy   -14.49 eV per cell
Spin magnetization   8.00 μB/cell

The following is a GGA-PBE calculation of crystalline NaSrTa at its relaxed geometry, from Alexandria via LeMat-Bulk.

```
NaSrTa
1.0
-3.2182 1.5949 -0.3151
-1.2264 -2.8400 -1.8519
-4.4409 -6.4409 12.8396
Sr Ta Na
2 2 2
Direct
0.6615 0.6226 0.5522
0.6619 0.6233 0.1347
0.6614 0.6225 0.9096
0.1615 0.1228 0.9781
0.1604 0.1212 0.7581
0.1603 0.1209 0.3477
```

Summary:
Distance to the lowest polymorph of the same formula   109.8 meV/atom
Formation enthalpy at 0 K   0.4289 eV per atom
VASP energy   -27.13 eV per cell
Spin magnetization   0.00 μB/cell

The following is a GGA-PBE calculation of crystalline NaSrTa at its relaxed geometry, from Alexandria via LeMat-Bulk.

```
NaSrTa
1.0
-1.1269 -2.4012 -4.0209
-0.5314 -5.1640 3.2327
-12.1041 2.4523 1.9278
Na Sr Ta
4 4 4
Direct
0.7486 0.7500 0.3122
0.2486 0.7500 0.1878
0.2514 0.2500 0.6878
0.7514 0.2500 0.8122
0.7496 0.7500 0.9825
0.2504 0.2500 0.0175
0.7504 0.2500 0.4825
0.2496 0.7500 0.5175
0.2505 0.2500 0.2861
0.7505 0.2500 0.2139
0.2495 0.7500 0.7861
0.7495 0.7500 0.7139
```

Summary:
Distance to the lowest polymorph of the same formula   448.3 meV/atom
Formation enthalpy at 0 K   0.7674 eV per atom
VASP energy   -50.21 eV per cell
Spin magnetization   0.00 μB/cell

The following is a GGA-PBE calculation of crystalline NaSrTa at its relaxed geometry, from Alexandria via LeMat-Bulk.

```
NaSrTa
1.0
-0.4976 -1.3445 3.1296
8.5734 2.1041 4.1524
-0.7990 4.9026 3.8655
Na Sr Ta
2 2 2
Direct
0.8314 0.1010 0.7330
0.1686 0.8990 0.2670
0.4850 0.6962 0.8303
0.5150 0.3038 0.1697
0.7894 0.5711 0.3510
0.2106 0.4289 0.6490
```

Summary:
Distance to the lowest polymorph of the same formula   299.7 meV/atom
Formation enthalpy at 0 K   0.6188 eV per atom
VASP energy   -25.99 eV per cell
Spin magnetization   0.00 μB/cell